Below is a relaxed Cs2AcAs2S6 crystal, with properties calculated at the GGA-PBE level.

Properties
Symmetry: C2/m (12)
M_tot (Bohr magnetons per cell): 0.00
VASP energy (eV/atom): -4.508
Energy relative to the elements, uncorrected (meV per atom): -883

a b c (Å): 7.4005 7.4005 8.9734
angles (deg): 115.17 115.17 60.15
Closest atoms and distances in Å follow each position.
Sites, in units of the cell vectors:
1 Cs 0.2074 0.2074 0.1904  9 S 3.59-4.00
2 Cs 0.7926 0.7926 0.8096  9 S 3.59-4.00
3 Ac 0.0000 0.0000 0.5000  6 S 2.92-2.99
4 As 0.4535 0.4535 0.8148  3 S 2.23-2.24
5 As 0.5465 0.5465 0.1852  3 S 2.23-2.24
6 S 0.2135 0.7026 0.2178  1 As 2.23
7 S 0.2574 0.2574 0.6231  1 As 2.24
8 S 0.2974 0.7865 0.7822  1 As 2.23
9 S 0.7026 0.2135 0.2178  1 As 2.23
10 S 0.7426 0.7426 0.3769  1 As 2.24
11 S 0.7865 0.2974 0.7822  1 As 2.23


Below is a relaxed ErZnSb crystal, with properties calculated at the GGA-PBE level.

Properties
Symmetry: P3m1 (156)
M_tot (Bohr magnetons per cell): 0.00
VASP energy (eV/atom): -3.860
Energy relative to the elements, uncorrected (meV per atom): -540

a b c (Å): 4.3727 4.3727 4.2709
angles (deg): 90.00 90.00 120.00
Closest atoms and distances in Å follow each position.
Sites, in units of the cell vectors:
1 Er 0.0000 0.0000 0.0000  3 Zn 2.87, 3 Sb 3.17
2 Zn 0.6667 0.3333 0.3199  3 Sb 2.71, 3 Er 2.87
3 Sb 0.3333 0.6667 0.5523  3 Zn 2.71


Below is a relaxed CoNiSe4 crystal, with properties calculated at the GGA-PBE level.

Properties
Symmetry: C2/m (12)
M_tot (Bohr magnetons per cell): 0.00
VASP energy (eV/atom): -4.755
Energy relative to the elements, uncorrected (meV per atom): -284

a b c (Å): 6.1548 6.1548 6.2082
angles (deg): 119.79 119.79 33.54
Closest atoms and distances in Å follow each position.
Sites, in units of the cell vectors:
1 Co 0.0000 0.0000 0.0000  6 Se 2.36-2.38
2 Ni 0.5000 0.5000 0.5000  6 Se 2.40-2.41
3 Se 0.1200 0.1200 0.4445  1 Co 2.36, 2 Ni 2.40
4 Se 0.3800 0.3800 0.0466  2 Co 2.38, 1 Ni 2.41
5 Se 0.6200 0.6200 0.9534  2 Co 2.38, 1 Ni 2.41
6 Se 0.8800 0.8800 0.5555  1 Co 2.36, 2 Ni 2.40


Below is a relaxed NaGePb2Se4 crystal, with properties calculated at the GGA-PBE level.

Properties
Symmetry: Pmn2_1 (31)
M_tot (Bohr magnetons per cell): 0.00
VASP energy (eV/atom): -3.916
Energy relative to the elements, uncorrected (meV per atom): -505

a b c (Å): 8.8991 9.3683 6.1720
angles (deg): 90.00 90.00 90.00
Closest atoms and distances in Å follow each position.
Sites, in units of the cell vectors:
1 Na 0.0000 0.1388 0.0000  5 Se 2.90-3.16
2 Na 0.5000 0.8612 0.5000  5 Se 2.90-3.16
3 Ge 0.0000 0.8262 0.4424  4 Se 2.51-2.62
4 Ge 0.5000 0.1738 0.9424  4 Se 2.51-2.62
5 Pb 0.2281 0.3352 0.4927  4 Se 2.89-3.16
6 Pb 0.2719 0.6648 0.9927  4 Se 2.89-3.16
7 Pb 0.7281 0.6648 0.9927  4 Se 2.89-3.16
8 Pb 0.7719 0.3352 0.4927  4 Se 2.89-3.16
9 Se 0.0000 0.1022 0.5083  1 Ge 2.62
10 Se 0.0000 0.8302 0.0358  1 Ge 2.51
11 Se 0.2273 0.6726 0.5128  1 Ge 2.52
12 Se 0.2727 0.3274 0.0128  1 Ge 2.52
13 Se 0.5000 0.1698 0.5358  1 Ge 2.51
14 Se 0.5000 0.8978 0.0083  1 Ge 2.62
15 Se 0.7273 0.3274 0.0128  1 Ge 2.52
16 Se 0.7727 0.6726 0.5128  1 Ge 2.52


Below is a relaxed NaGa6Ag6 crystal, with properties calculated at the GGA-PBE level.

Properties
Symmetry: Immm (71)
M_tot (Bohr magnetons per cell): 0.00
VASP energy (eV/atom): -2.826

a b c (Å): 7.1629 7.1629 7.1629
angles (deg): 134.40 99.56 97.72
Closest atoms and distances in Å follow each position.
Sites, in units of the cell vectors:
1 Na 0.0000 0.0000 0.0000  8 Ag 3.14-3.46, 4 Ga 3.41
2 Ga 0.0000 0.0000 0.5000  6 Ag 2.71-2.86, 4 Ga 2.75-2.78
3 Ga 0.0000 0.5000 0.0000  6 Ag 2.71-2.86, 4 Ga 2.75-2.78
4 Ga 0.2143 0.5000 0.7143  4 Ga 2.75, 6 Ag 2.86-3.02
5 Ga 0.5000 0.0000 0.0000  6 Ag 2.71-2.86, 4 Ga 2.75-2.78
6 Ga 0.5000 0.5000 0.5000  6 Ag 2.71-2.86, 4 Ga 2.75-2.78
7 Ga 0.7857 0.5000 0.2857  4 Ga 2.75, 6 Ag 2.86-3.02
8 Ag 0.2186 0.7186 0.5000  6 Ga 2.71-2.86, 4 Ag 3.02-3.04
9 Ag 0.3398 0.0000 0.3398  6 Ga 2.86-3.01, 3 Ag 2.96-3.04, 1 Na 3.14
10 Ag 0.3461 0.3461 0.0000  6 Ga 2.85-3.02, 3 Ag 2.90-3.02
11 Ag 0.6539 0.6539 0.0000  6 Ga 2.85-3.02, 3 Ag 2.90-3.02
12 Ag 0.6602 0.0000 0.6602  6 Ga 2.86-3.01, 3 Ag 2.96-3.04, 1 Na 3.14
13 Ag 0.7814 0.2814 0.5000  6 Ga 2.71-2.86, 4 Ag 3.02-3.04


Below is a relaxed MgCoB crystal, with properties calculated at the GGA-PBE level.

Properties
Symmetry: Imma (74)
M_tot (Bohr magnetons per cell): 0.00
VASP energy (eV/atom): -5.110

a b c (Å): 4.4024 4.4024 4.4024
angles (deg): 119.68 112.71 96.82
Closest atoms and distances in Å follow each position.
Sites, in units of the cell vectors:
1 Mg 0.3677 0.1177 0.2500  2 B 2.42, 6 Co 2.55-2.62, 2 Mg 2.70
2 Mg 0.6323 0.8823 0.7500  2 B 2.42, 6 Co 2.55-2.62, 2 Mg 2.70
3 Co 0.0000 0.5000 0.5000  4 B 2.20, 2 Co 2.44
4 Co 0.5000 0.5000 0.0000  4 B 2.20, 2 Co 2.44
5 B 0.0000 0.0000 0.5000  4 Co 2.20, 2 B 2.21, 2 Mg 2.42
6 B 0.0000 0.5000 0.0000  4 Co 2.20, 2 B 2.21, 2 Mg 2.42


Below is a relaxed BeInTc crystal, with properties calculated at the GGA-PBE level.

Properties
Symmetry: P3m1 (156)
M_tot (Bohr magnetons per cell): 0.00
VASP energy (eV/atom): -5.285

a b c (Å): 4.2829 4.2829 2.8156
angles (deg): 90.00 90.00 120.00
Closest atoms and distances in Å follow each position.
Sites, in units of the cell vectors:
1 Be 0.0000 0.0000 0.0000  3 In 2.52, 3 Tc 2.63, 2 Be 2.82
2 In 0.3333 0.6667 0.1797  3 Be 2.52, 2 In 2.82
3 Tc 0.6667 0.3333 0.6783  3 Be 2.63, 2 Tc 2.82, 6 In 2.84-2.85


Below is a relaxed InPt2Pb2 crystal, with properties calculated at the GGA-PBE level.

Properties
Symmetry: P2_1/m (11)
M_tot (Bohr magnetons per cell): 0.00
VASP energy (eV/atom): -4.699

a b c (Å): 5.7199 4.3179 9.8194
angles (deg): 90.00 93.55 90.00
Closest atoms and distances in Å follow each position.
Sites, in units of the cell vectors:
1 In 0.1116 0.2500 0.2972  5 Pt 2.74-2.84
2 In 0.8884 0.7500 0.7028  5 Pt 2.74-2.84
3 Pt 0.1679 0.7500 0.4845  3 In 2.75-2.84, 3 Pb 2.83-2.85, 2 Pt 2.92
4 Pt 0.2456 0.7500 0.1493  2 In 2.74, 4 Pb 2.85-2.97
5 Pt 0.7544 0.2500 0.8507  2 In 2.74, 4 Pb 2.85-2.97
6 Pt 0.8321 0.2500 0.5155  3 In 2.75-2.84, 3 Pb 2.83-2.85, 2 Pt 2.92
7 Pb 0.2495 0.2500 0.9603  4 Pt 2.85-3.14
8 Pb 0.3853 0.2500 0.6297  4 Pt 2.83-2.93
9 Pb 0.6147 0.7500 0.3703  4 Pt 2.83-2.93
10 Pb 0.7505 0.7500 0.0397  4 Pt 2.85-3.14


Below is a relaxed CaB3C crystal, with properties calculated at the GGA-PBE level.

Properties
Symmetry: Pmn2_1 (31)
M_tot (Bohr magnetons per cell): 0.00
VASP energy (eV/atom): -5.999

a b c (Å): 3.6145 7.9407 3.9377
angles (deg): 90.00 90.00 90.00
Closest atoms and distances in Å follow each position.
Sites, in units of the cell vectors:
1 Ca 0.0000 0.1606 0.0000  4 B 2.55-2.57, 2 C 2.74
2 Ca 0.5000 0.8394 0.5000  4 B 2.55-2.57, 2 C 2.74
3 B 0.0000 0.7029 0.1259  1 C 1.69, 2 B 1.71
4 B 0.2494 0.4104 0.3389  2 C 1.69-1.71, 3 B 1.71-1.81
5 B 0.2506 0.5896 0.8389  2 C 1.69-1.71, 3 B 1.71-1.81
6 B 0.5000 0.2971 0.6259  1 C 1.69, 2 B 1.71
7 B 0.7494 0.5896 0.8389  2 C 1.69-1.71, 3 B 1.71-1.81
8 B 0.7506 0.4104 0.3389  2 C 1.69-1.71, 3 B 1.71-1.81
9 C 0.0000 0.5809 0.4761  5 B 1.69-1.71
10 C 0.5000 0.4191 0.9761  5 B 1.69-1.71


Below is a relaxed Y3ThCo2 crystal, with properties calculated at the GGA-PBE level.

Properties
Symmetry: C2/m (12)
M_tot (Bohr magnetons per cell): 0.00
VASP energy (eV/atom): -7.009

a b c (Å): 8.5117 8.5117 11.6426
angles (deg): 123.54 123.54 25.57
Closest atoms and distances in Å follow each position.
Sites, in units of the cell vectors:
1 Y 0.0818 0.0818 0.4413  3 Co 2.81-3.00
2 Y 0.0817 0.0817 0.9432  3 Co 2.84-3.06
3 Y 0.3451 0.3451 0.7501  3 Co 2.75-2.94
4 Y 0.6549 0.6549 0.2499  3 Co 2.75-2.94
5 Y 0.9183 0.9183 0.0568  3 Co 2.84-3.06
6 Y 0.9182 0.9182 0.5587  3 Co 2.81-3.00
7 Th 0.3370 0.3370 0.2415  2 Co 2.58
8 Th 0.6630 0.6630 0.7585  2 Co 2.58
9 Co 0.2626 0.2626 0.9354  2 Th 2.58, 2 Co 2.59, 2 Y 2.84
10 Co 0.2664 0.2664 0.4511  2 Co 2.42
11 Co 0.7336 0.7336 0.5489  2 Co 2.42
12 Co 0.7374 0.7374 0.0646  2 Th 2.58, 2 Co 2.59, 2 Y 2.84


Below is a relaxed SiBH2 crystal, with properties calculated at the GGA-PBE level.

Properties
Symmetry: Fd-3m (227)
M_tot (Bohr magnetons per cell): 0.00
VASP energy (eV/atom): -3.831

a b c (Å): 4.5019 4.5019 4.5019
angles (deg): 60.00 60.00 60.00
Closest atoms and distances in Å follow each position.
Sites, in units of the cell vectors:
1 Si 0.1250 0.1250 0.1250  12 H 2.64, 4 Si 2.76, 4 B 2.76
2 Si 0.8750 0.8750 0.8750  12 H 2.64, 4 B 2.76, 4 Si 2.76
3 B 0.3750 0.3750 0.3750  4 H 1.38
4 B 0.6250 0.6250 0.6250  4 H 1.38
5 H 0.0000 0.5000 0.5000  2 B 1.38
6 H 0.5000 0.0000 0.5000  2 B 1.38
7 H 0.5000 0.5000 0.0000  2 B 1.38
8 H 0.5000 0.5000 0.5000  2 B 1.38


Below is a relaxed IrAuBr3 crystal, with properties calculated at the GGA-PBE level.

Properties
Symmetry: Pm-3m (221)
M_tot (Bohr magnetons per cell): 0.00
VASP energy (eV/atom): -2.898
Energy relative to the elements, uncorrected (meV per atom): 534

a b c (Å): 5.0649 5.0649 5.0649
angles (deg): 90.00 90.00 90.00
Closest atoms and distances in Å follow each position.
Sites, in units of the cell vectors:
1 Ir 0.0000 0.0000 0.0000  6 Br 2.53
2 Au 0.5000 0.5000 0.5000  12 Br 3.58
3 Br 0.0000 0.0000 0.5000  2 Ir 2.53
4 Br 0.0000 0.5000 0.0000  2 Ir 2.53
5 Br 0.5000 0.0000 0.0000  2 Ir 2.53


Please write out number 3 again, unchanged.
Below is a relaxed CoNiSe4 crystal, with properties calculated at the GGA-PBE level.

Properties
Symmetry: C2/m (12)
M_tot (Bohr magnetons per cell): 0.00
VASP energy (eV/atom): -4.755
Energy relative to the elements, uncorrected (meV per atom): -284

a b c (Å): 6.1548 6.1548 6.2082
angles (deg): 119.79 119.79 33.54
Closest atoms and distances in Å follow each position.
Sites, in units of the cell vectors:
1 Co 0.0000 0.0000 0.0000  6 Se 2.36-2.38
2 Ni 0.5000 0.5000 0.5000  6 Se 2.40-2.41
3 Se 0.1200 0.1200 0.4445  1 Co 2.36, 2 Ni 2.40
4 Se 0.3800 0.3800 0.0466  2 Co 2.38, 1 Ni 2.41
5 Se 0.6200 0.6200 0.9534  2 Co 2.38, 1 Ni 2.41
6 Se 0.8800 0.8800 0.5555  1 Co 2.36, 2 Ni 2.40